Entry one
# AlSi2Ir

Crystalline AlSi2Ir at its relaxed geometry (GGA-PBE, Alexandria).

Properties
D(E_F)   1.70 states/eV/f.u.

a = 5.509 Å, b = 5.509 Å, c = 6.883 Å
α = 66.41°, β = 66.41°, γ = 90.00°
Fractional coordinates of all 8 atoms:
Si  0.660  0.125  0.250
Si  0.090  0.625  0.250
Si  0.375  0.340  0.750
Si  0.875  0.910  0.750
Ir  0.000  0.000  0.000
Ir  0.750  0.250  0.500
Al  0.500  0.500  0.000
Al  0.250  0.750  0.500

Entry two
# AlSi2Ir

Crystalline AlSi2Ir at its relaxed geometry (GGA-PBE, Alexandria).

Properties
D(E_F)   0.34 states/eV/f.u.

a = 4.324 Å, b = 4.324 Å, c = 4.324 Å
α = 60.00°, β = 60.00°, γ = 60.00°
Fractional coordinates of all 4 atoms:
Si  0.000  0.000  0.000
Si  0.250  0.250  0.250
Ir  0.750  0.750  0.750
Al  0.500  0.500  0.500

So which one wins? Going from most stable to least: entry two, entry one.

Entry one
# Zr2ScOs2

Crystalline Zr2ScOs2 at its relaxed geometry (GGA-PBE, Alexandria).

Properties
D(E_F)   5.51 states/eV/f.u.

a = 4.070 Å, b = 4.070 Å, c = 7.188 Å
α = 73.55°, β = 73.55°, γ = 90.00°
Fractional coordinates of all 5 atoms:
Sc  0.000  0.000  0.000
Os  0.750  0.250  0.500
Os  0.250  0.750  0.500
Zr  0.378  0.378  0.244
Zr  0.622  0.622  0.756

Entry two
# Zr2ScOs2

Crystalline Zr2ScOs2 at its relaxed geometry (GGA-PBE, Alexandria).

Properties
D(E_F)   2.03 states/eV/f.u.

a = 3.294 Å, b = 4.724 Å, c = 12.022 Å
α = 90.00°, β = 97.87°, γ = 90.00°
Fractional coordinates of all 10 atoms:
Zr  0.048  0.750  0.097
Zr  0.952  0.250  0.903
Zr  0.234  0.750  0.469
Zr  0.766  0.250  0.531
Sc  0.857  0.750  0.714
Sc  0.143  0.250  0.286
Os  0.645  0.750  0.290
Os  0.355  0.250  0.710
Os  0.453  0.750  0.905
Os  0.547  0.250  0.095

So which one wins? Going from most stable to least: entry two, entry one.